Below is CoBr3Cl after structural relaxation, with properties calculated at the PBE level.

Calculated values
**Final energy**: -2.8868 eV per atom
**Offset from the most stable computed form**: 192 meV per atom

a = 8.684 Å, b = 8.684 Å, c = 8.684 Å
α = 42.28°, β = 42.28°, γ = 42.28°
Sites, in units of the cell vectors:
1 Co 0.167 0.167 0.167
2 Co 0.833 0.833 0.833
3 Br 0.071 0.814 0.441
4 Br 0.186 0.559 0.929
5 Br 0.441 0.071 0.814
6 Br 0.559 0.929 0.186
7 Br 0.814 0.441 0.071
8 Br 0.929 0.186 0.559
9 Cl 0.356 0.356 0.356
10 Cl 0.644 0.644 0.644



Below is CoBr3Cl after structural relaxation, with properties calculated at the PBE level.

Calculated values
**Final energy**: -2.6286 eV per atom
**Offset from the most stable computed form**: 450 meV per atom

a = 6.981 Å, b = 6.981 Å, c = 6.981 Å
α = 59.92°, β = 59.92°, γ = 59.92°
Sites, in units of the cell vectors:
1 Co 0.000 0.000 0.000
2 Co 0.500 0.500 0.500
3 Br 0.178 0.750 0.322
4 Br 0.250 0.678 0.822
5 Br 0.322 0.178 0.750
6 Br 0.678 0.822 0.250
7 Br 0.750 0.322 0.178
8 Br 0.822 0.250 0.678
9 Cl 0.250 0.250 0.250
10 Cl 0.750 0.750 0.750



Below is CoBr3Cl after structural relaxation, with properties calculated at the PBE level.

Calculated values
**Final energy**: -2.6022 eV per atom
**Offset from the most stable computed form**: 477 meV per atom

a = 4.946 Å, b = 4.946 Å, c = 4.946 Å
α = 90.00°, β = 90.00°, γ = 90.00°
Sites, in units of the cell vectors:
1 Co 0.000 0.000 0.000
2 Br 0.000 0.000 0.500
3 Br 0.000 0.500 0.000
4 Br 0.500 0.000 0.000
5 Cl 0.500 0.500 0.500



Below is CoBrCl2 after structural relaxation, with properties calculated at the PBE level.

Calculated values
**Final energy**: -3.3268 eV per atom
**Offset from the most stable computed form**: 214 meV per atom

a = 6.524 Å, b = 6.524 Å, c = 6.886 Å
α = 121.29°, β = 121.29°, γ = 27.40°
Sites, in units of the cell vectors:
1 Co 0.000 0.000 0.000
2 Br 0.500 0.500 0.500
3 Cl 0.356 0.356 0.857
4 Cl 0.644 0.644 0.143



Below is CoBrCl2 after structural relaxation, with properties calculated at the PBE level.

Calculated values
**Final energy**: -2.4185 eV per atom
**Offset from the most stable computed form**: 1122 meV per atom

a = 4.913 Å, b = 4.913 Å, c = 3.443 Å
α = 90.00°, β = 90.00°, γ = 90.00°
Sites, in units of the cell vectors:
1 Co 0.000 0.000 0.000
2 Br 0.500 0.500 0.000
3 Cl 0.000 0.500 0.500
4 Cl 0.500 0.000 0.500



Below is CoBrCl2 after structural relaxation, with properties calculated at the PBE level.

Calculated values
**Final energy**: -3.4622 eV per atom
**Offset from the most stable computed form**: 79 meV per atom

a = 3.424 Å, b = 6.603 Å, c = 6.603 Å
α = 40.92°, β = 90.00°, γ = 90.00°
Sites, in units of the cell vectors:
1 Co 0.000 0.000 0.000
2 Br 0.500 0.868 0.868
3 Cl 0.000 0.525 0.525
4 Cl 0.500 0.122 0.122



Below is CoBr3Cl after structural relaxation, with properties calculated at the PBE level.

Calculated values
**Final energy**: -2.6760 eV per atom
**Offset from the most stable computed form**: 403 meV per atom

a = 4.422 Å, b = 4.422 Å, c = 17.010 Å
α = 90.00°, β = 90.00°, γ = 120.00°
Sites, in units of the cell vectors:
1 Co 0.333 0.667 0.250
2 Co 0.667 0.333 0.750
3 Br 0.000 0.000 0.250
4 Br 0.000 0.000 0.750
5 Br 0.333 0.667 0.117
6 Br 0.333 0.667 0.383
7 Br 0.667 0.333 0.617
8 Br 0.667 0.333 0.883
9 Cl 0.000 0.000 0.000
10 Cl 0.000 0.000 0.500



Below is CoBrCl2 after structural relaxation, with properties calculated at the PBE level.

Calculated values
**Final energy**: -3.4955 eV per atom
**Offset from the most stable computed form**: 45 meV per atom

a = 6.439 Å, b = 3.385 Å, c = 6.644 Å
α = 90.00°, β = 116.37°, γ = 90.00°
Sites, in units of the cell vectors:
1 Co 0.000 0.000 0.000
2 Br 0.049 0.500 0.749
3 Cl 0.316 0.000 0.298
4 Cl 0.775 0.500 0.048



Below is CoBr3Cl after structural relaxation, with properties calculated at the PBE level.

Calculated values
**Final energy**: -2.8929 eV per atom
**Offset from the most stable computed form**: 186 meV per atom

a = 9.305 Å, b = 9.305 Å, c = 6.750 Å
α = 92.48°, β = 92.48°, γ = 80.13°
Sites, in units of the cell vectors:
1 Co 0.084 0.916 0.750
2 Co 0.225 0.775 0.250
3 Co 0.775 0.225 0.750
4 Co 0.916 0.084 0.250
5 Br 0.023 0.176 0.597
6 Br 0.131 0.686 0.940
7 Br 0.176 0.023 0.097
8 Br 0.220 0.536 0.385
9 Br 0.314 0.869 0.560
10 Br 0.464 0.780 0.115
11 Br 0.536 0.220 0.885
12 Br 0.686 0.131 0.440
13 Br 0.780 0.464 0.615
14 Br 0.824 0.977 0.903
15 Br 0.869 0.314 0.060
16 Br 0.977 0.824 0.403
17 Cl 0.352 0.416 0.883
18 Cl 0.416 0.352 0.383
19 Cl 0.584 0.648 0.617
20 Cl 0.648 0.584 0.117



Below is CoBrCl3 after structural relaxation, with properties calculated at the PBE level.

Calculated values
**Final energy**: -2.0121 eV per atom
**Offset from the most stable computed form**: 1192 meV per atom

a = 5.253 Å, b = 5.253 Å, c = 5.253 Å
α = 90.00°, β = 90.00°, γ = 90.00°
Sites, in units of the cell vectors:
1 Co 0.000 0.000 0.000
2 Br 0.500 0.500 0.500
3 Cl 0.000 0.500 0.500
4 Cl 0.500 0.000 0.500
5 Cl 0.500 0.500 0.000



Below is CoBrCl2 after structural relaxation, with properties calculated at the PBE level.

Calculated values
**Final energy**: -3.1087 eV per atom
**Offset from the most stable computed form**: 432 meV per atom

a = 6.615 Å, b = 6.615 Å, c = 6.615 Å
α = 120.03°, β = 120.03°, γ = 89.95°
Sites, in units of the cell vectors:
1 Co 0.000 0.000 0.000
2 Co 0.750 0.250 0.500
3 Br 0.250 0.750 0.500
4 Br 0.500 0.500 0.000
5 Cl 0.375 0.231 0.356
6 Cl 0.769 0.125 0.144
7 Cl 0.875 0.019 0.644
8 Cl 0.981 0.625 0.856



Below is CoBrCl2 after structural relaxation, with properties calculated at the PBE level.

Calculated values
**Final energy**: -3.1356 eV per atom
**Offset from the most stable computed form**: 405 meV per atom

a = 5.218 Å, b = 5.218 Å, c = 9.121 Å
α = 90.00°, β = 90.00°, γ = 144.06°
Sites, in units of the cell vectors:
1 Co 0.000 0.000 0.000
2 Br 0.500 0.500 0.182
3 Cl 0.000 0.000 0.488
4 Cl 0.500 0.500 0.836